[1]
Compound: Pm6ScIn
Source: the Alexandria database
Functional: PBE-GGA
Structure: relaxed

Properties
- formation energy (kJ/mol of formula units) = -87

abc: 4.9708 4.9708 10.0859
angles: 90.00 90.00 90.00
Space group P4/mmm (No. 123)
Symmetry-distinct sites (fractional):
Pm1 0.0000 0.0000 0.0000 x1
Pm2 0.0000 0.0000 0.5000 x1
Pm3 0.0000 0.5000 0.2482 x4
Sc1 0.5000 0.5000 0.5000 x1
In1 0.5000 0.5000 0.0000 x1

---

[2]
Compound: Pm5ScIn8
Source: the Alexandria database
Functional: PBE-GGA
Structure: relaxed

Properties
- formation energy (kJ/mol of formula units) = -491

abc: 9.3449 9.3449 9.1495
angles: 90.00 90.00 90.00
Space group I-4 (No. 82)
Symmetry-distinct sites (fractional):
Pm1 0.0000 0.0000 0.0000 x2
Pm2 0.1149 0.7573 0.3681 x8
Sc1 0.0000 0.5000 0.7500 x2
In1 0.0753 0.6615 0.0257 x8
In2 0.0876 0.8132 0.7129 x8

---

[3]
Compound: Pm8ScIn2
Source: the Alexandria database
Functional: PBE-GGA
Structure: relaxed

Properties
- formation energy (kJ/mol of formula units) = -84

abc: 17.0972 6.7744 6.1951
angles: 90.00 102.74 90.00
Space group C2/m (No. 12)
Symmetry-distinct sites (fractional):
Pm1 0.0044 0.0000 0.2439 x4
Pm2 0.1280 0.5000 0.0782 x4
Pm3 0.1708 0.2419 0.6159 x8
Sc1 0.0000 0.5000 0.5000 x2
In1 0.1794 0.0000 0.1033 x4

---

[4]
Compound: Pm4ScIn5
Source: the Alexandria database
Functional: PBE-GGA
Structure: relaxed

Properties
- formation energy (kJ/mol of formula units) = -464

abc: 3.7258 3.7258 19.6487
angles: 90.00 90.00 90.00
Space group P4/mmm (No. 123)
Symmetry-distinct sites (fractional):
Pm1 0.0000 0.0000 0.1040 x2
Pm2 0.0000 0.0000 0.3117 x2
Sc1 0.0000 0.0000 0.5000 x1
In1 0.5000 0.5000 0.0000 x1
In2 0.5000 0.5000 0.2081 x2
In3 0.5000 0.5000 0.4160 x2

---

[5]
Compound: Pm5ScIn2
Source: the Alexandria database
Functional: PBE-GGA
Structure: relaxed

Properties
- formation energy (kJ/mol of formula units) = -110

abc: 5.4272 5.4272 20.3326
angles: 90.00 90.00 120.00
Space group P6_3/mmc (No. 194)
Symmetry-distinct sites (fractional):
Pm1 0.0000 0.0000 0.1606 x4
Pm2 0.3333 0.6667 0.0542 x4
Pm3 0.3333 0.6667 0.2500 x2
Sc1 0.3333 0.6667 0.7500 x2
In1 0.3333 0.6667 0.6049 x4

---

[6]
Compound: Pm2ScIn3Se6
Source: the Alexandria database
Functional: PBE-GGA
Structure: relaxed

Properties
- formation energy without anion corrections (eV per atom) = -1.2487

abc: 7.2080 12.4529 8.0579
angles: 90.00 107.29 90.00
Space group C2/m (No. 12)
Symmetry-distinct sites (fractional):
Pm1 0.0000 0.1664 0.0000 x4
Sc1 0.0000 0.5000 0.0000 x2
In1 0.0000 0.0000 0.5000 x2
In2 0.0000 0.3297 0.5000 x4
Se1 0.2262 0.3429 0.2071 x8
Se2 0.2442 0.5000 0.7866 x4

---

[7]
Compound: PmSc2In3Se6
Source: the Alexandria database
Functional: PBE-GGA
Structure: relaxed

Properties
- formation energy without anion corrections (eV per atom) = -1.2121

abc: 7.0212 12.1228 8.0233
angles: 90.00 106.88 90.00
Space group C2/m (No. 12)
Symmetry-distinct sites (fractional):
Pm1 0.0000 0.0000 0.0000 x2
Sc1 0.0000 0.3332 0.0000 x4
In1 0.0000 0.1607 0.5000 x4
In2 0.0000 0.5000 0.5000 x2
Se1 0.2136 0.5000 0.2003 x4
Se2 0.2451 0.1765 0.2066 x8

---

[8]
Compound: PmSmSc2In4
Source: the Alexandria database
Functional: PBE-GGA
Structure: relaxed

Properties
- formation energy (kJ/mol of formula units) = -337

abc: 5.2422 5.2422 25.7223
angles: 90.00 90.00 120.00
Space group R-3m (No. 166, hexagonal axes)
Symmetry-distinct sites (fractional):
Pm1 0.0000 0.0000 0.0000 x3
Sm1 0.0000 0.0000 0.5000 x3
Sc1 0.0000 0.0000 0.2500 x6
In1 0.0000 0.0000 0.1253 x6
In2 0.0000 0.0000 0.3752 x6